First-principles (PBE+U) data for InNiOF2 after structural relaxation, as listed in Alexandria.

Relative energy among the computed polymorphs = 0.0 kJ/mol of atoms

Lattice parameters (Å, degrees): 3.969 3.969 4.135 90.00 90.00 90.00
Positions (direct):
In 0.000 0.000 0.000
Ni 0.500 0.500 0.500
O 0.500 0.500 0.000
F 0.000 0.500 0.500
F 0.500 0.000 0.500


First-principles (PBE+U) data for InNiOF2 after structural relaxation, as listed in Alexandria.

Relative energy among the computed polymorphs = 22.1 kJ/mol of atoms

Lattice parameters (Å, degrees): 4.256 4.256 4.081 90.00 90.00 90.00
Positions (direct):
In 0.000 0.000 0.000
Ni 0.500 0.500 0.500
O 0.000 0.000 0.500
F 0.000 0.500 0.000
F 0.500 0.000 0.000


First-principles (PBE+U) data for Rb2InNiF6 after structural relaxation, as listed in Alexandria.

Lattice parameters (Å, degrees): 6.160 6.160 6.160 60.00 60.00 60.00
Positions (direct):
Rb 0.250 0.250 0.250
Rb 0.750 0.750 0.750
In 0.000 0.000 0.000
Ni 0.500 0.500 0.500
F 0.264 0.264 0.736
F 0.264 0.736 0.264
F 0.264 0.736 0.736
F 0.736 0.264 0.264
F 0.736 0.264 0.736
F 0.736 0.736 0.264


First-principles (PBE+U) data for RbInNiF6 after structural relaxation, as listed in Alexandria.

Lattice parameters (Å, degrees): 7.604 7.604 7.604 121.19 118.27 90.49
Positions (direct):
Rb 0.330 0.080 0.250
Rb 0.670 0.920 0.750
In 0.000 0.500 0.500
In 0.500 0.500 0.000
Ni 0.000 0.000 0.500
Ni 0.000 0.500 0.000
F 0.059 0.410 0.228
F 0.059 0.809 0.250
F 0.059 0.830 0.648
F 0.318 0.170 0.728
F 0.318 0.590 0.148
F 0.333 0.583 0.750
F 0.667 0.417 0.250
F 0.682 0.410 0.852
F 0.682 0.830 0.272
F 0.941 0.170 0.352
F 0.941 0.191 0.750
F 0.941 0.590 0.772


First-principles (PBE+U) data for TaIn2NiF after structural relaxation, as listed in Alexandria.

Lattice parameters (Å, degrees): 4.851 4.851 4.551 90.00 90.00 90.00
Positions (direct):
Ta 0.000 0.000 0.000
In 0.000 0.500 0.500
In 0.500 0.000 0.500
Ni 0.000 0.000 0.500
F 0.500 0.500 0.000


First-principles (PBE+U) data for TiInNi2F after structural relaxation, as listed in Alexandria.

Lattice parameters (Å, degrees): 4.213 4.213 5.770 90.00 90.00 90.00
Positions (direct):
Ti 0.000 0.000 0.000
In 0.000 0.000 0.500
Ni 0.000 0.500 0.000
Ni 0.500 0.000 0.000
F 0.500 0.500 0.500


First-principles (PBE+U) data for Tl2InNiF6 after structural relaxation, as listed in Alexandria.

Lattice parameters (Å, degrees): 6.150 6.150 6.150 60.00 60.00 60.00
Positions (direct):
Tl 0.250 0.250 0.250
Tl 0.750 0.750 0.750
In 0.000 0.000 0.000
Ni 0.500 0.500 0.500
F 0.265 0.265 0.735
F 0.265 0.735 0.265
F 0.265 0.735 0.735
F 0.735 0.265 0.265
F 0.735 0.265 0.735
F 0.735 0.735 0.265


First-principles (PBE+U) data for TlInNiF6 after structural relaxation, as listed in Alexandria.

Lattice parameters (Å, degrees): 5.576 5.576 5.987 90.06 90.06 119.93
Positions (direct):
Tl 0.000 0.000 0.000
In 0.667 0.333 0.500
Ni 0.333 0.667 0.500
F 0.009 0.627 0.312
F 0.011 0.383 0.689
F 0.372 0.382 0.312
F 0.373 0.991 0.688
F 0.617 0.989 0.311
F 0.618 0.628 0.688


| no. | raw total energy (eV/atom) |
| --- | --- |
| 1 | -4.25 |
| 2 | -4.02 |
| 3 | -4.25 |
| 4 | -4.44 |
| 5 | -3.89 |
| 6 | -2.54 |
| 7 | -4.11 |
| 8 | -4.37 |